# BeNiTe2

An optimized crystal structure of BeNiTe2 (PBE-GGA, Alexandria).

abc: 3.5804 3.5896 8.3247
angles: 90.00 90.00 90.00
Space group Pmmm (No. 47)
Symmetry-distinct sites (fractional):
Be (0.0000, 0.0000, 0.0000) [1 per cell]
Ni (0.0000, 0.5000, 0.5000) [1 per cell]
Te (0.5000, 0.0000, 0.5000) [1 per cell]
Te (0.5000, 0.5000, 0.0000) [1 per cell]


# BeNi2Te2

An optimized crystal structure of BeNi2Te2 (PBE-GGA, Alexandria).

abc: 3.5318 3.5318 14.5002
angles: 90.00 90.00 90.00
Space group I4/mmm (No. 139)
Symmetry-distinct sites (fractional):
Be (0.0000, 0.0000, 0.0000) [2 per cell]
Ni (0.0000, 0.5000, 0.2500) [4 per cell]
Te (0.0000, 0.0000, 0.3801) [4 per cell]


# BeNiTe2

An optimized crystal structure of BeNiTe2 (PBE-GGA, Alexandria).

abc: 6.5314 3.7623 6.4978
angles: 90.00 109.72 90.00
Space group C2/m (No. 12)
Symmetry-distinct sites (fractional):
Be (0.0000, 0.0000, 0.0000) [2 per cell]
Ni (0.0000, 0.5000, 0.5000) [2 per cell]
Te (0.2488, 0.5000, 0.2508) [4 per cell]


# BeNiTe2

An optimized crystal structure of BeNiTe2 (PBE-GGA, Alexandria).

abc: 3.1502 3.3977 6.8928
angles: 90.00 90.00 90.00
Space group Pmmm (No. 47)
Symmetry-distinct sites (fractional):
Be (0.0000, 0.0000, 0.0000) [1 per cell]
Ni (0.0000, 0.0000, 0.5000) [1 per cell]
Te (0.5000, 0.5000, 0.2535) [2 per cell]


# BeNiTe2

An optimized crystal structure of BeNiTe2 (PBE-GGA, Alexandria).

abc: 3.4043 3.4043 7.5494
angles: 90.00 90.00 90.00
Space group P4mm (No. 99)
Symmetry-distinct sites (fractional):
Be (0.0000, 0.0000, 0.0000) [1 per cell]
Ni (0.5000, 0.5000, 0.1636) [1 per cell]
Te (0.0000, 0.0000, 0.3209) [1 per cell]
Te (0.5000, 0.5000, 0.8329) [1 per cell]


# Be2NiTe2

An optimized crystal structure of Be2NiTe2 (PBE-GGA, Alexandria).

abc: 6.6799 6.6799 3.6159
angles: 90.00 90.00 90.00
Space group P4/mbm (No. 127)
Symmetry-distinct sites (fractional):
Be (0.1214, 0.3786, 0.0000) [4 per cell]
Ni (0.0000, 0.0000, 0.0000) [2 per cell]
Te (0.1945, 0.6945, 0.5000) [4 per cell]


Energy relative to the elements, uncorrected / eV per formula unit: 1.623; 1.585; 0.244; 2.200; 0.158; 2.046
Final energy / eV/atom: -3.5419; -3.9974; -3.8868; -3.3978; -3.9083; -3.4943